Density functional theory data (PBE-GGA) for a relaxed PtCBr2Cl crystal.

Unit cell a=5.404 b=3.832 c=5.404 alpha=90.00 beta=90.00 gamma=90.00
Last column: magnetic moment on the atom in μB.
Fractional positions:
Pt1 0.000 0.000 0.000  0.00
C1 0.000 0.500 0.000  -0.01
Cl1 0.500 0.500 0.500  0.39
Br1 0.500 0.000 0.000  0.18
Br2 0.000 0.000 0.500  0.14

Results
Space-group type: No. 123
Spin magnetization: 0.84 μB/f.u.
Energy relative to the elements, uncorrected: 0.820 eV per atom
Uncorrected energy: -3.27 eV/atom